CoCu2SeO6 | GGA+U | optimized geometry

Computed properties:
V = 106 Å³/f.u.
VASP energy = -5.2675 eV/atom
Magnetic moment = 1.06 μB/f.u.
Fermi-level density of states = 5.88 states/eV/f.u.

Lattice parameters (Å, degrees): 9.816 8.721 5.008 90.00 98.22 90.00
Space group C2/c (No. 15)
Inequivalent atoms, fractional coordinates:
Co: 0.000 0.083 0.250 [4 per cell]
Cu: 0.196 0.400 0.306 [8 per cell]
Se: 0.000 0.266 0.750 [4 per cell]
O: 0.101 0.236 0.094 [8 per cell]
O: 0.102 0.080 0.607 [8 per cell]
O: 0.121 0.397 0.652 [8 per cell]